(1)
# KSr2Mg

A relaxed KSr2Mg crystal (PBE, Alexandria).

a b c (Å): 5.5018 5.5018 26.8382
angles (deg): 90.00 90.00 90.00
Space group I-42d (No. 122)
Inequivalent atoms, fractional coordinates:
K: 0.0000 0.0000 0.0000 (multiplicity 4)
Sr: 0.2358 0.2500 0.6250 (multiplicity 8)
Mg: 0.0000 0.0000 0.5000 (multiplicity 4)

Properties
E_form (kcal/mol of atoms): 7.3
DOS(E_F) (states/eV/cell): 19.5



(2)
# SmErCO

A relaxed SmErCO crystal (PBE, Alexandria).

a b c (Å): 3.1596 3.3182 12.0435
angles (deg): 90.00 90.00 90.00
Space group Imm2 (No. 44)
Inequivalent atoms, fractional coordinates:
Sm: 0.0000 0.0000 0.0000 (multiplicity 2)
Er: 0.0000 0.5000 0.2519 (multiplicity 2)
C: 0.0000 0.5000 0.8415 (multiplicity 2)
O: 0.0000 0.0000 0.5953 (multiplicity 2)

Properties
DOS(E_F) (states/eV/cell): 2.5
Formation energy without anion corrections (eV/atom): -1.195